A plane-wave DFT calculation with meta-GGA SCAN was carried out for BTePd2W at its PBEsol-relaxed geometry.

Space-group type: No. 123
Uncorrected formation energy in eV/atom: 0.892
Magnetization in μB per formula unit: 2.753
Energy in eV per atom: -35.0913

Structure (CIF):
```
data_BTePd2W
_chemical_formula_sum 'B1 Te1 Pd2 W1'
_symmetry_space_group_name_H-M 'P 1'
_symmetry_Int_Tables_number 1
_cell_length_a 4.059
_cell_length_b 4.059
_cell_length_c 4.836
_cell_angle_alpha 90.00
_cell_angle_beta 90.00
_cell_angle_gamma 90.00
loop_
_symmetry_equiv_pos_as_xyz
'x,y,z'
loop_
_atom_site_label
_atom_site_fract_x
_atom_site_fract_y
_atom_site_fract_z
Pd1 0.000 0.500 0.000
Pd2 0.500 0.000 0.000
B1 0.000 0.000 0.000
W1 0.500 0.500 0.500
Te1 0.000 0.000 0.500
```

---

A plane-wave DFT calculation with meta-GGA SCAN was carried out for Ti3BPd at its PBEsol-relaxed geometry.

Space-group type: No. 221
Magnetization in μB per formula unit: 0.001
Calculated formation energy in eV per formula unit: -1.6
Energy in eV per atom: -17.9751

Structure (CIF):
```
data_Ti3BPd
_chemical_formula_sum 'Ti3 B1 Pd1'
_symmetry_space_group_name_H-M 'P 1'
_symmetry_Int_Tables_number 1
_cell_length_a 4.199
_cell_length_b 4.199
_cell_length_c 4.199
_cell_angle_alpha 90.00
_cell_angle_beta 90.00
_cell_angle_gamma 90.00
loop_
_symmetry_equiv_pos_as_xyz
'x,y,z'
loop_
_atom_site_label
_atom_site_fract_x
_atom_site_fract_y
_atom_site_fract_z
B1 0.000 0.000 0.000
Ti1 0.000 0.000 0.500
Ti2 0.500 0.000 0.000
Ti3 0.000 0.500 0.000
Pd1 0.500 0.500 0.500
```

---

A plane-wave DFT calculation with meta-GGA SCAN was carried out for Y2B5Pd14 at its PBEsol-relaxed geometry.

Space-group type: No. 141
Magnetization in μB per formula unit: 0.000
Calculated formation energy in eV per formula unit: -10.9
Energy in eV per atom: -26.7901

Structure (CIF):
```
data_Y2B5Pd14
_chemical_formula_sum 'Y4 B10 Pd28'
_symmetry_space_group_name_H-M 'P 1'
_symmetry_Int_Tables_number 1
_cell_length_a 8.180
_cell_length_b 8.180
_cell_length_c 10.223
_cell_angle_alpha 113.59
_cell_angle_beta 113.59
_cell_angle_gamma 90.00
loop_
_symmetry_equiv_pos_as_xyz
'x,y,z'
loop_
_atom_site_label
_atom_site_fract_x
_atom_site_fract_y
_atom_site_fract_z
Pd1 0.057 0.889 0.114
Pd2 0.894 0.608 0.789
Pd3 0.858 0.644 0.289
Pd4 0.819 0.106 0.211
Pd5 0.476 0.807 0.614
Pd6 0.193 0.524 0.386
Pd7 0.431 0.644 0.289
Pd8 0.125 0.375 0.750
Pd9 0.312 0.688 0.000
Pd10 0.774 0.943 0.886
Pd11 0.392 0.106 0.211
Pd12 0.356 0.569 0.711
Pd13 0.938 0.438 0.500
Pd14 0.625 0.375 0.250
Pd15 0.139 0.807 0.614
Pd16 0.562 0.062 0.500
Pd17 0.688 0.688 0.000
Pd18 0.356 0.142 0.711
Pd19 0.938 0.062 0.500
Pd20 0.193 0.861 0.386
Pd21 0.894 0.181 0.789
Pd22 0.625 0.875 0.250
Pd23 0.312 0.312 0.000
Pd24 0.057 0.226 0.114
Pd25 0.688 0.312 0.000
Pd26 0.111 0.943 0.886
Pd27 0.562 0.438 0.500
Pd28 0.625 0.375 0.750
B1 0.336 0.375 0.250
B2 0.336 0.875 0.250
B3 0.625 0.664 0.750
B4 0.625 0.086 0.750
B5 0.750 0.250 0.500
B6 0.914 0.875 0.250
B7 0.125 0.664 0.750
B8 0.125 0.086 0.750
B9 0.500 0.500 0.000
B10 0.914 0.375 0.250
Y1 0.034 0.534 0.068
Y2 0.466 0.966 0.932
Y3 0.216 0.216 0.432
Y4 0.784 0.784 0.568
```

---

A plane-wave DFT calculation with meta-GGA SCAN was carried out for YB2Pd at its PBEsol-relaxed geometry.

Space-group type: No. 225
Magnetization in μB per formula unit: 0.000
Calculated formation energy in eV per formula unit: 0.9
Energy in eV per atom: -18.6322

Structure (CIF):
```
data_YB2Pd
_chemical_formula_sum 'Y1 B2 Pd1'
_symmetry_space_group_name_H-M 'P 1'
_symmetry_Int_Tables_number 1
_cell_length_a 4.170
_cell_length_b 4.170
_cell_length_c 4.170
_cell_angle_alpha 60.00
_cell_angle_beta 60.00
_cell_angle_gamma 60.00
loop_
_symmetry_equiv_pos_as_xyz
'x,y,z'
loop_
_atom_site_label
_atom_site_fract_x
_atom_site_fract_y
_atom_site_fract_z
Y1 0.000 0.000 0.000
Pd1 0.500 0.500 0.500
B1 0.250 0.250 0.250
B2 0.750 0.750 0.750
```